Entry 1:
Material: Ba3Li2Bi4Pd2
Method: DFT, GGA-PBE
State: relaxed

abc: 4.869 4.869 17.254
angles: 90.00 90.00 120.00
Atoms (fractional coordinates):
Li1 0.333 0.667 0.137
Bi1 0.667 0.333 0.138
Bi2 0.333 0.667 0.862
Ba1 0.000 0.000 0.721
Li2 0.667 0.333 0.863
Bi3 0.333 0.667 0.420
Pd1 0.667 0.333 0.421
Pd2 0.333 0.667 0.579
Ba2 0.000 0.000 0.279
Ba3 0.000 0.000 0.000
Bi4 0.667 0.333 0.580

Values from the calculation:
As for the formation energy: -0.628 eV per atom. For the calculated volume, the calculation gives 354.3 Å³/cell. Its space group is P-3m1, No. 164. Its crystal system is trigonal.

Entry 2:
Material: Ba2Li3PrBi4
Method: DFT, GGA-PBE
State: relaxed

abc: 5.094 5.094 12.411
angles: 90.00 90.00 90.00
Atoms (fractional coordinates):
Li1 0.000 0.000 0.500
Ba1 0.500 0.000 0.219
Bi1 0.000 0.000 0.000
Bi2 0.500 0.500 0.000
Li2 0.000 0.500 0.116
Bi3 0.000 0.500 0.348
Ba2 0.000 0.500 0.781
Li3 0.500 0.000 0.884
Bi4 0.500 0.000 0.652
Pr1 0.500 0.500 0.500

Values from the calculation:
As for the formation energy: -0.721 eV per atom. For the calculated volume, the calculation gives 322.1 Å³/cell. Its space group is P-4m2, No. 115. Its crystal system is tetragonal.